Material: CaMoF6
Method: DFT, PBE with a Hubbard U
State: relaxed

POSCAR file:
```
CaMoF6
1.0
-4.351 1.098 2.586
0.060 -3.175 4.091
1.217 2.823 4.445
F Mo Ca
6 1 1
Cartesian
-2.724 1.068 3.765
-0.316 -1.264 4.587
0.030 2.091 5.844
-3.104 -1.345 5.278
-0.350 -0.323 7.356
-2.758 2.010 6.534
0.000 0.000 0.000
-1.537 0.373 5.561
```

Output
The density of states at the Fermi level is 0.00 states/eV/cell. As for the total energy: -5.596 eV per atom.